VASP calculation (PBE) on a relaxed structure of La3PrYEr.

CIF file:
```
data_La3PrYEr
_cell_length_a 8.133
_cell_length_b 5.234
_cell_length_c 10.454
_cell_angle_alpha 90.00
_cell_angle_beta 108.78
_cell_angle_gamma 90.00
_space_group_name_H-M_alt 'P 1 21/m 1'
_space_group_IT_number 11
_space_group_name_Hall '-P 2yb'
loop_
_atom_site_label
_atom_site_fract_x
_atom_site_fract_y
_atom_site_fract_z
_atom_site_occupancy
La1 0.168 0.250 0.043 1
La2 0.171 0.250 0.541 1
La3 0.171 0.750 0.791 1
Pr1 0.171 0.750 0.294 1
Y1 0.498 0.750 0.126 1
Er1 0.500 0.250 0.377 1
```

Results
Crystal system ... monoclinic

VASP calculation (PBE) on a relaxed structure of LaPr2YEr5.

CIF file:
```
data_LaPr2YEr5
_cell_length_a 8.746
_cell_length_b 8.746
_cell_length_c 15.578
_cell_angle_alpha 90.00
_cell_angle_beta 90.00
_cell_angle_gamma 90.00
_space_group_name_H-M_alt 'I 4/m c m'
_space_group_IT_number 140
_space_group_name_Hall '-I 4 2c'
loop_
_atom_site_label
_atom_site_fract_x
_atom_site_fract_y
_atom_site_fract_z
_atom_site_occupancy
La1 0.000 0.000 0.250 1
Pr1 0.117 0.383 0.000 1
Y1 0.000 0.500 0.250 1
Er1 0.000 0.000 0.000 1
Er2 0.211 0.289 0.362 1
```

Results
Crystal system ... tetragonal

VASP calculation (PBE) on a relaxed structure of La2Pr3Y6Er.

CIF file:
```
data_La2Pr3Y6Er
_cell_length_a 6.302
_cell_length_b 10.914
_cell_length_c 11.943
_cell_angle_alpha 90.00
_cell_angle_beta 100.11
_cell_angle_gamma 90.00
_space_group_name_H-M_alt 'C 1 2/m 1'
_space_group_IT_number 12
_space_group_name_Hall '-C 2y'
loop_
_atom_site_label
_atom_site_fract_x
_atom_site_fract_y
_atom_site_fract_z
_atom_site_occupancy
La1 0.000 0.166 0.000 1
Pr1 0.000 0.000 0.500 1
Pr2 0.000 0.333 0.500 1
Y1 0.249 0.334 0.250 1
Y2 0.249 0.500 0.750 1
Er1 0.000 0.500 0.000 1
```

Results
Crystal system ... monoclinic

VASP calculation (PBE) on a relaxed structure of La2Pr6YEr.

CIF file:
```
data_La2Pr6YEr
_cell_length_a 9.261
_cell_length_b 15.437
_cell_length_c 10.136
_cell_angle_alpha 90.00
_cell_angle_beta 100.00
_cell_angle_gamma 90.00
_space_group_name_H-M_alt 'C 1 2/c 1'
_space_group_IT_number 15
_space_group_name_Hall '-C 2yc'
loop_
_atom_site_label
_atom_site_fract_x
_atom_site_fract_y
_atom_site_fract_z
_atom_site_occupancy
La1 0.245 0.050 0.042 1
Pr1 0.065 0.189 0.445 1
Pr2 0.105 0.399 0.621 1
Pr3 0.201 0.219 0.810 1
Y1 0.000 0.014 0.750 1
Er1 0.000 0.405 0.250 1
```

Results
Crystal system ... monoclinic

Sequential DFT total energy output: -5.07; -4.61; -5.62; -4.85 eV/atom